VASP calculation (PBE-GGA) on CaScRe4 after structural relaxation.

As for the crystal system: cubic. The value obtained for the density of states at the Fermi level is 0.595 states/eV/atom. The calculation puts the formation energy at -0.022 eV per atom. The calculation puts the total energy at -9.710 eV per atom.

The structure belongs to space group F-43m (No. 216); the cell edges are 7.569, 7.569 and 7.569 Å and the angles 90.00°, 90.00° and 90.00°. Symmetry generates all atoms from Ca at (0.000, 0.000, 0.000), Sc at (0.250, 0.250, 0.250) and Re at (0.125, 0.125, 0.625).